La3Nd4TmSe8 after structural relaxation. Source: the Alexandria database, functional GGA-PBE.

CIF file:
```
data_La3Nd4TmSe8
_cell_length_a 8.489
_cell_length_b 8.467
_cell_length_c 8.490
_cell_angle_alpha 120.08
_cell_angle_beta 120.00
_cell_angle_gamma 90.00
_space_group_name_H-M_alt 'P 1'
_space_group_IT_number 1
_space_group_name_Hall 'P 1'
loop_
_atom_site_label
_atom_site_type_symbol
_atom_site_fract_x
_atom_site_fract_y
_atom_site_fract_z
La1 La 0.500 0.500 0.500
Nd1 Nd 0.000 0.000 0.500
Se1 Se 0.242 0.745 0.484
Se2 Se 0.758 0.255 0.997
Se3 Se 0.752 0.755 0.503
Tm1 Tm 0.000 0.500 0.000
Nd2 Nd 0.500 0.000 0.500
La2 La 0.500 0.500 0.000
La3 La 0.000 0.500 0.500
Se4 Se 0.239 0.255 0.997
Se5 Se 0.248 0.245 0.497
Se6 Se 0.761 0.745 0.003
Nd3 Nd 0.500 0.000 0.000
Se7 Se 0.758 0.255 0.516
Se8 Se 0.242 0.745 0.003
Nd4 Nd 0.000 0.000 0.000
```

SG = R-3m, No. 166

La3Nd2TmSe6 after structural relaxation. Source: the Alexandria database, functional GGA-PBE.

CIF file:
```
data_La3Nd2TmSe6
_cell_length_a 7.338
_cell_length_b 7.338
_cell_length_c 7.344
_cell_angle_alpha 99.58
_cell_angle_beta 99.58
_cell_angle_gamma 120.14
_space_group_name_H-M_alt 'P 1'
_space_group_IT_number 1
_space_group_name_Hall 'P 1'
loop_
_atom_site_label
_atom_site_type_symbol
_atom_site_fract_x
_atom_site_fract_y
_atom_site_fract_z
Se1 Se 0.760 0.760 0.242
Se2 Se 0.240 0.240 0.758
Nd1 Nd 0.333 0.667 0.000
Se3 Se 0.600 0.921 0.764
Se4 Se 0.079 0.400 0.236
Nd2 Nd 0.667 0.333 0.000
Se5 Se 0.400 0.079 0.236
La1 La 0.500 0.500 0.500
La2 La 0.828 0.172 0.500
La3 La 0.172 0.828 0.500
Se6 Se 0.921 0.600 0.764
Tm1 Tm 0.000 0.000 0.000
```

SG = C2/m, No. 12

La3Nd3TmSe8 after structural relaxation. Source: the Alexandria database, functional GGA-PBE.

CIF file:
```
data_La3Nd3TmSe8
_cell_length_a 8.468
_cell_length_b 8.467
_cell_length_c 8.527
_cell_angle_alpha 119.77
_cell_angle_beta 90.00
_cell_angle_gamma 120.00
_space_group_name_H-M_alt 'P 1'
_space_group_IT_number 1
_space_group_name_Hall 'P 1'
loop_
_atom_site_label
_atom_site_type_symbol
_atom_site_fract_x
_atom_site_fract_y
_atom_site_fract_z
Se1 Se 0.241 0.481 0.738
Se2 Se 0.243 0.003 0.263
Tm1 Tm 0.000 0.000 0.500
Se3 Se 0.759 0.519 0.262
La1 La 0.000 0.000 0.000
La2 La 0.500 0.500 0.000
La3 La 0.000 0.500 0.000
Se4 Se 0.251 0.503 0.254
Nd1 Nd 0.500 0.500 0.500
Se5 Se 0.240 0.997 0.737
Nd2 Nd 0.500 0.000 0.500
Se6 Se 0.757 0.997 0.737
Se7 Se 0.760 0.003 0.263
Se8 Se 0.749 0.497 0.746
Nd3 Nd 0.000 0.500 0.500
```

SG = R-3m, No. 166

La3NdTm2Se6 after structural relaxation. Source: the Alexandria database, functional GGA-PBE.

CIF file:
```
data_La3NdTm2Se6
_cell_length_a 7.238
_cell_length_b 7.238
_cell_length_c 7.348
_cell_angle_alpha 99.45
_cell_angle_beta 99.45
_cell_angle_gamma 120.15
_space_group_name_H-M_alt 'P 1'
_space_group_IT_number 1
_space_group_name_Hall 'P 1'
loop_
_atom_site_label
_atom_site_type_symbol
_atom_site_fract_x
_atom_site_fract_y
_atom_site_fract_z
La1 La 0.161 0.839 0.500
Tm1 Tm 0.667 0.333 0.000
Se1 Se 0.730 0.730 0.228
Se2 Se 0.423 0.078 0.233
Nd1 Nd 0.000 0.000 0.000
La2 La 0.839 0.161 0.500
Tm2 Tm 0.333 0.667 0.000
Se3 Se 0.922 0.577 0.767
Se4 Se 0.577 0.922 0.767
Se5 Se 0.078 0.423 0.233
Se6 Se 0.270 0.270 0.772
La3 La 0.500 0.500 0.500
```

SG = C2/m, No. 12

La4NdTm3Se8 after structural relaxation. Source: the Alexandria database, functional GGA-PBE.

CIF file:
```
data_La4NdTm3Se8
_cell_length_a 8.326
_cell_length_b 8.447
_cell_length_c 8.327
_cell_angle_alpha 119.52
_cell_angle_beta 120.00
_cell_angle_gamma 90.00
_space_group_name_H-M_alt 'P 1'
_space_group_IT_number 1
_space_group_name_Hall 'P 1'
loop_
_atom_site_label
_atom_site_type_symbol
_atom_site_fract_x
_atom_site_fract_y
_atom_site_fract_z
La1 La 0.500 0.000 0.000
Se1 Se 0.742 0.725 0.483
Se2 Se 0.248 0.731 0.497
Nd1 Nd 0.000 0.500 0.000
Se3 Se 0.248 0.731 0.983
Se4 Se 0.258 0.275 0.517
Se5 Se 0.752 0.269 0.503
La2 La 0.000 0.000 0.500
La3 La 0.500 0.000 0.500
Tm1 Tm 0.500 0.500 0.500
Tm2 Tm 0.500 0.500 0.000
Se6 Se 0.734 0.731 0.983
Se7 Se 0.266 0.269 0.017
Se8 Se 0.752 0.269 0.017
Tm3 Tm 0.000 0.500 0.500
La4 La 0.000 0.000 0.000
```

SG = R-3m, No. 166

LaNd3Tm2Se6 after structural relaxation. Source: the Alexandria database, functional GGA-PBE.

CIF file:
```
data_LaNd3Tm2Se6
_cell_length_a 7.209
_cell_length_b 7.209
_cell_length_c 7.284
_cell_angle_alpha 99.50
_cell_angle_beta 99.50
_cell_angle_gamma 120.18
_space_group_name_H-M_alt 'P 1'
_space_group_IT_number 1
_space_group_name_Hall 'P 1'
loop_
_atom_site_label
_atom_site_type_symbol
_atom_site_fract_x
_atom_site_fract_y
_atom_site_fract_z
Se1 Se 0.080 0.429 0.240
Se2 Se 0.920 0.571 0.760
La1 La 0.000 0.000 0.000
Tm1 Tm 0.667 0.333 0.000
Nd1 Nd 0.842 0.158 0.500
Tm2 Tm 0.333 0.667 0.000
Se3 Se 0.429 0.080 0.240
Nd2 Nd 0.500 0.500 0.500
Se4 Se 0.728 0.728 0.232
Nd3 Nd 0.158 0.842 0.500
Se5 Se 0.272 0.272 0.768
Se6 Se 0.571 0.920 0.760
```

SG = C2/m, No. 12

LaNd2TmSe5 after structural relaxation. Source: the Alexandria database, functional GGA-PBE.

CIF file:
```
data_LaNd2TmSe5
_cell_length_a 5.096
_cell_length_b 5.096
_cell_length_c 11.031
_cell_angle_alpha 90.00
_cell_angle_beta 90.00
_cell_angle_gamma 90.00
_space_group_name_H-M_alt 'P 1'
_space_group_IT_number 1
_space_group_name_Hall 'P 1'
loop_
_atom_site_label
_atom_site_type_symbol
_atom_site_fract_x
_atom_site_fract_y
_atom_site_fract_z
Se1 Se 0.500 0.500 0.000
Se2 Se 0.500 0.000 0.500
Nd1 Nd 0.500 0.500 0.670
Nd2 Nd 0.500 0.500 0.330
Se3 Se 0.000 0.000 0.747
Se4 Se 0.000 0.500 0.500
Se5 Se 0.000 0.000 0.253
La1 La 0.000 0.000 0.000
Tm1 Tm 0.000 0.000 0.500
```

SG = P4/mmm, No. 123

La2NdTmSe5 after structural relaxation. Source: the Alexandria database, functional GGA-PBE.

CIF file:
```
data_La2NdTmSe5
_cell_length_a 5.073
_cell_length_b 5.073
_cell_length_c 10.953
_cell_angle_alpha 90.00
_cell_angle_beta 90.00
_cell_angle_gamma 90.00
_space_group_name_H-M_alt 'P 1'
_space_group_IT_number 1
_space_group_name_Hall 'P 1'
loop_
_atom_site_label
_atom_site_type_symbol
_atom_site_fract_x
_atom_site_fract_y
_atom_site_fract_z
Se1 Se 0.500 0.500 0.000
Se2 Se 0.000 0.500 0.500
La1 La 0.500 0.500 0.690
Se3 Se 0.000 0.000 0.251
Se4 Se 0.000 0.000 0.749
Tm1 Tm 0.000 0.000 0.500
Nd1 Nd 0.000 0.000 0.000
La2 La 0.500 0.500 0.310
Se5 Se 0.500 0.000 0.500
```

SG = P4/mmm, No. 123

How do the records compare in density of states at the Fermi level? In the order shown, they have 9.973, 6.135, 7.609, 6.217, 9.914, 5.737, 6.003, 6.641 states/eV/f.u..
How do the records compare in uncorrected formation energy? In the order shown, they have -43.13, -43.71, -44.54, -43.07, -42.75, -41.70, -31.83, -33.96 kcal/mol of atoms.
How do the records compare in density? In the order shown, they have 6.91, 6.94, 6.32, 7.25, 7.32, 7.44, 5.74, 5.81 g/cm³.